CeMg2Ge2Pd | PBE-GGA | relaxed

abc: 5.1891 5.1891 6.5928
angles: 113.18 113.18 90.00
With the nearest neighbours (Å) after each atom.
Positions (direct):
Ce (0.5000, 0.5000, 0.0000)  2 Ge 3.11
Pd (0.0000, 0.0000, 0.0000)  2 Ge 2.37
Mg (0.2500, 0.7500, 0.5000)  4 Ge 2.62
Mg (0.7500, 0.2500, 0.5000)  4 Ge 2.62
Ge (0.7836, 0.7836, 0.5672)  1 Pd 2.37, 4 Mg 2.62
Ge (0.2164, 0.2164, 0.4328)  1 Pd 2.37, 4 Mg 2.62

Summary:
**Calculated total energy**: -24.077 eV for the cell shown